Compound: Nd2Sm2C2F5
Source: the Open Quantum Materials Database
Functional: PBE
Structure: optimized geometry

POSCAR file:
```
Nd2Sm2C2F5
1.0
8.0632 -1.8413 0.0000
8.0632 1.8413 0.0000
-2.6828 0.0000 6.1742
Sm F C Nd
2 5 2 2
direct
0.6958 0.6958 0.1975
0.3042 0.3042 0.8025
0.1852 0.1852 0.4192
0.1844 0.1844 0.9478
0.8156 0.8156 0.0522
0.5000 0.5000 0.5000
0.8148 0.8148 0.5808
0.5484 0.5484 0.0494
0.4516 0.4516 0.9506
0.0026 0.0026 0.7647
0.9974 0.9974 0.2353
```

Final energy = -73.784 eV for the cell shown

Compound: NdSmCF2
Source: the Open Quantum Materials Database
Functional: PBE
Structure: optimized geometry

POSCAR file:
```
NdSmCF2
1.0
3.7551 0.0000 0.0000
-1.8775 3.2520 0.0000
0.0000 0.0000 6.5194
F C Nd Sm
2 1 1 1
direct
0.6667 0.3333 0.3849
0.3333 0.6667 0.6066
0.0000 0.0000 0.0036
0.6667 0.3333 0.7852
0.3333 0.6667 0.2197
```

Final energy = -33.902 eV for the cell shown

Compound: TbNdCF2
Source: the Open Quantum Materials Database
Functional: PBE
Structure: optimized geometry

POSCAR file:
```
TbNdCF2
1.0
3.7229 0.0000 0.0000
-1.8614 3.2241 0.0000
0.0000 0.0000 6.4645
F Nd C Tb
2 1 1 1
direct
0.3333 0.6667 0.6219
0.6667 0.3333 0.3991
0.3333 0.6667 0.2097
0.0000 0.0000 0.9912
0.6667 0.3333 0.7781
```

Final energy = -34.003 eV for the cell shown

Compound: NdTmCF2
Source: the Open Quantum Materials Database
Functional: PBE
Structure: optimized geometry

POSCAR file:
```
NdTmCF2
1.0
-3.5985 0.6329 -0.5114
1.5358 -3.0851 -1.3172
-1.3097 -3.0007 5.5012
F Tm Nd C
2 1 1 1
direct
0.3333 0.6667 0.6284
0.6667 0.3333 0.4053
0.6667 0.3333 0.7758
0.3333 0.6667 0.2043
0.0000 0.0000 0.9862
```

Final energy = -33.952 eV for the cell shown

Compound: NdYCF2
Source: the Open Quantum Materials Database
Functional: PBE
Structure: optimized geometry

POSCAR file:
```
NdYCF2
1.0
-0.3528 -3.3025 1.6670
3.2797 1.0267 -1.4139
1.5967 2.6819 5.6511
Nd C F Y
1 1 2 1
direct
0.3333 0.6667 0.2089
0.0000 0.0000 0.9907
0.3333 0.6667 0.6223
0.6667 0.3333 0.3994
0.6667 0.3333 0.7786
```

Final energy = -35.846 eV for the cell shown

Compound: SmScCF2
Source: the Open Quantum Materials Database
Functional: PBE
Structure: optimized geometry

POSCAR file:
```
SmScCF2
1.0
-0.0827 -3.5145 0.5267
3.0688 1.6055 -0.8004
1.1260 0.8872 6.0967
F C Sm Sc
2 1 1 1
direct
0.3333 0.6667 0.6350
0.6667 0.3333 0.4019
0.0000 0.0000 0.9804
0.3333 0.6667 0.2017
0.6667 0.3333 0.7810
```

Final energy = -35.541 eV for the cell shown

Compound: Tm2Sc2CF5
Source: the Open Quantum Materials Database
Functional: PBE
Structure: optimized geometry

POSCAR file:
```
Tm2Sc2CF5
1.0
-6.2544 -2.0210 -2.8516
-4.2401 -1.8860 -5.4587
3.2156 -5.4030 2.2046
F Tm C Sc
5 2 1 2
direct
0.1814 0.1814 0.3344
0.5000 0.5000 0.5000
0.8263 0.8263 0.1164
0.1737 0.1737 0.8836
0.8186 0.8186 0.6656
0.0043 0.0043 0.2414
0.9957 0.9957 0.7586
0.5000 0.5000 0.0000
0.6635 0.6635 0.1147
0.3365 0.3365 0.8853
```

Final energy = -66.736 eV for the cell shown

Compound: Sm2CF2
Source: the Open Quantum Materials Database
Functional: PBE
Structure: optimized geometry

POSCAR file:
```
Sm2CF2
1.0
3.7231 0.0000 0.0000
-1.8616 3.2243 0.0000
0.0000 0.0000 6.4592
F C Sm
2 1 2
direct
0.6667 0.3333 0.3889
0.3333 0.6667 0.6111
0.0000 0.0000 0.0000
0.6667 0.3333 0.7835
0.3333 0.6667 0.2165
```

Final energy = -33.996 eV for the cell shown

Compound: TbSmCF2
Source: the Open Quantum Materials Database
Functional: PBE
Structure: optimized geometry

POSCAR file:
```
TbSmCF2
1.0
-3.0772 -2.0368 -0.1983
3.2707 -1.6396 0.5213
-0.7533 0.5190 6.3588
C F Tb Sm
1 2 1 1
direct
0.0000 0.0000 0.9949
0.3333 0.6667 0.6185
0.6667 0.3333 0.3936
0.6667 0.3333 0.7815
0.3333 0.6667 0.2114
```

Final energy = -34.129 eV for the cell shown

Compound: Sm2Tm2CF5
Source: the Open Quantum Materials Database
Functional: PBE
Structure: optimized geometry

POSCAR file:
```
Sm2Tm2CF5
1.0
7.3901 -1.7464 0.0000
7.3901 1.7464 0.0000
-2.2522 0.0000 6.6631
Tm F Sm C
2 5 2 1
direct
0.3364 0.3364 0.8809
0.6636 0.6636 0.1191
0.5000 0.5000 0.5000
0.8182 0.8182 0.6744
0.8198 0.8198 0.0896
0.1818 0.1818 0.3256
0.1802 0.1802 0.9104
0.9996 0.9996 0.2421
0.0004 0.0004 0.7579
0.5000 0.5000 0.0000
```

Final energy = -63.429 eV for the cell shown

Compound: SmYCF2
Source: the Open Quantum Materials Database
Functional: PBE
Structure: optimized geometry

POSCAR file:
```
SmYCF2
1.0
-1.0385 0.7556 3.4581
3.5026 -0.9082 -0.7172
1.4150 6.1896 -0.9274
Y C Sm F
1 1 1 2
direct
0.6667 0.3333 0.7823
0.0000 0.0000 0.9944
0.3333 0.6667 0.2107
0.6667 0.3333 0.3938
0.3333 0.6667 0.6188
```

Final energy = -35.975 eV for the cell shown

Compound: Tm2CF2
Source: the Open Quantum Materials Database
Functional: PBE
Structure: optimized geometry

POSCAR file:
```
Tm2CF2
1.0
3.5579 0.0000 0.0000
-1.7790 3.0812 0.0000
0.0000 0.0000 6.2348
Tm F C
2 2 1
direct
0.3333 0.6667 0.2105
0.6667 0.3333 0.7895
0.3333 0.6667 0.6160
0.6667 0.3333 0.3840
0.0000 0.0000 0.0000
```

Final energy = -34.238 eV for the cell shown

Compound: Y2Tm2CF5
Source: the Open Quantum Materials Database
Functional: PBE
Structure: optimized geometry

POSCAR file:
```
Y2Tm2CF5
1.0
-3.8135 2.7430 5.8854
-6.1089 2.8881 3.3233
-0.4584 -6.8035 0.0252
Tm Y F C
2 2 5 1
direct
0.3345 0.3345 0.8695
0.6655 0.6655 0.1305
0.9989 0.9989 0.2389
0.0011 0.0011 0.7611
0.5000 0.5000 0.5000
0.1791 0.1791 0.3467
0.8209 0.8209 0.6533
0.1788 0.1788 0.9093
0.8212 0.8212 0.0907
0.5000 0.5000 0.0000
```

Final energy = -66.856 eV for the cell shown

Compound: Fe7C3
Source: the Open Quantum Materials Database
Functional: PBE
Structure: optimized geometry

POSCAR file:
```
Fe7C3
1.0
4.1581 -1.3205 0.0000
4.1581 1.3205 0.0000
-2.2266 0.0000 8.3300
C Fe
3 7
direct
0.6358 0.6358 0.6604
0.3642 0.3642 0.3396
0.5000 0.5000 0.0000
0.6928 0.6928 0.3586
0.0000 0.0000 0.5000
0.3072 0.3072 0.6414
0.1651 0.1651 0.0868
0.9299 0.9299 0.2070
0.8349 0.8349 0.9132
0.0701 0.0701 0.7930
```

Final energy = -83.759 eV for the cell shown

Compound: Fe12C
Source: the Open Quantum Materials Database
Functional: PBE
Structure: optimized geometry

POSCAR file:
```
Fe12C
1.0
-2.8651 2.6602 0.5914
-2.4943 -3.3014 2.7661
3.5454 2.4560 6.1284
Fe C
12 1
direct
0.0000 0.2371 0.8206
0.5000 0.5000 0.3362
0.0000 0.2504 0.5000
0.0000 0.7496 0.5000
0.5000 0.0000 0.6612
0.5000 0.0000 0.0000
0.0000 0.2371 0.1794
0.5000 0.5000 0.6638
0.5000 0.0000 0.3388
0.5000 0.5000 0.0000
0.0000 0.7629 0.8206
0.0000 0.7629 0.1794
0.0000 0.5000 0.0000
```

Final energy = -107.453 eV for the cell shown

Compound: FeC
Source: the Open Quantum Materials Database
Functional: PBE
Structure: optimized geometry

POSCAR file:
```
FeC
1.0
1.5340 -2.6570 0.0000
1.5340 2.6570 0.0000
0.0000 0.0000 4.7715
C Fe
2 2
direct
0.0000 0.0000 0.9959
0.3333 0.6667 0.4959
0.0000 0.0000 0.3791
0.3333 0.6667 0.8791
```

Final energy = -32.638 eV for the cell shown

Compound: FeC3
Source: the Open Quantum Materials Database
Functional: PBE
Structure: optimized geometry

POSCAR file:
```
FeC3
1.0
-2.0858 0.8801 -2.0830
-2.0997 0.2981 2.2285
0.8394 2.9326 0.3985
C Fe
3 1
direct
0.5000 0.0000 0.5000
0.5000 0.5000 0.0000
0.0000 0.5000 0.5000
0.0000 0.0000 0.0000
```

Final energy = -24.612 eV for the cell shown

Compound: FeC3
Source: the Open Quantum Materials Database
Functional: PBE
Structure: optimized geometry

POSCAR file:
```
FeC3
1.0
3.5293 -5.0009 2.1723
0.5618 -6.4145 0.8499
-1.2706 5.5653 -3.0978
Fe C
1 3
direct
0.0000 0.0000 0.0000
0.5000 0.5000 0.0000
0.7500 0.2500 0.5000
0.2500 0.7500 0.5000
```

Final energy = -27.618 eV for the cell shown

Compound: FeC2
Source: the Open Quantum Materials Database
Functional: PBE
Structure: optimized geometry

POSCAR file:
```
FeC2
1.0
0.7114 5.1610 2.1370
1.2623 0.6412 5.4502
5.1380 1.7366 1.5146
C Fe
4 2
direct
0.3750 0.8750 0.3750
0.3750 0.3750 0.8750
0.8750 0.3750 0.3750
0.3750 0.3750 0.3750
0.2500 0.2500 0.2500
0.5000 0.5000 0.5000
```

Final energy = -43.472 eV for the cell shown

Compound: Fe2C
Source: the Open Quantum Materials Database
Functional: PBE
Structure: optimized geometry

POSCAR file:
```
Fe2C
1.0
4.5069 0.0000 0.0000
0.0000 4.9196 0.0000
0.0000 0.0000 4.9067
Fe C
8 4
direct
0.4237 0.3828 0.2500
0.4237 0.1172 0.7500
0.0599 0.7500 0.5000
0.5763 0.8828 0.2500
0.9401 0.2500 0.5000
0.9401 0.2500 0.0000
0.5763 0.6172 0.7500
0.0599 0.7500 0.0000
0.8158 0.5389 0.2500
0.8158 0.9611 0.7500
0.1842 0.0389 0.2500
0.1842 0.4611 0.7500
```

Final energy = -102.426 eV for the cell shown

Compound: Fe5C
Source: the Open Quantum Materials Database
Functional: PBE
Structure: optimized geometry

POSCAR file:
```
Fe5C
1.0
4.4503 0.0000 0.0000
-2.2251 3.8541 0.0000
0.0000 0.0000 4.2205
C Fe
1 5
direct
0.0000 0.0000 0.0000
0.6667 0.3333 0.0000
0.5000 0.0000 0.5000
0.0000 0.5000 0.5000
0.5000 0.5000 0.5000
0.3333 0.6667 0.0000
```

Final energy = -43.095 eV for the cell shown

Compound: Fe12C
Source: the Open Quantum Materials Database
Functional: PBE
Structure: optimized geometry

POSCAR file:
```
Fe12C
1.0
-3.9944 -1.1132 0.1672
0.6304 -3.7492 -3.2862
1.2215 -4.6171 5.1298
Fe C
12 1
direct
0.7423 0.4965 0.7490
0.2327 0.3309 0.9175
0.7556 0.6604 0.0828
0.2387 0.0086 0.2526
0.7611 0.3366 0.4174
0.2521 0.1694 0.5861
0.2467 0.8297 0.9161
0.2492 0.6721 0.5900
0.2905 0.5368 0.2688
0.7480 0.8379 0.4192
0.7039 0.1323 0.0665
0.7454 0.9938 0.7454
0.9968 0.3344 0.1674
```

Final energy = -108.447 eV for the cell shown

Compound: FeC3
Source: the Open Quantum Materials Database
Functional: PBE
Structure: optimized geometry

POSCAR file:
```
FeC3
1.0
-0.1195 0.2671 -3.7875
-3.2114 -0.4748 1.9729
-0.6671 6.5054 0.4798
C Fe
6 2
direct
0.1266 0.8734 0.2500
0.8734 0.1267 0.7500
0.1266 0.2533 0.2500
0.2533 0.1266 0.7500
0.7467 0.8734 0.2500
0.8734 0.7467 0.7500
0.3333 0.6667 0.7500
0.6667 0.3333 0.2500
```

Final energy = -58.642 eV for the cell shown

Compound: Fe7C3
Source: the Open Quantum Materials Database
Functional: PBE
Structure: optimized geometry

POSCAR file:
```
Fe7C3
1.0
4.5122 0.0000 0.0000
0.0000 6.8474 0.0000
0.0000 0.0000 11.7211
Fe C
28 12
direct
0.4383 0.9365 0.3082
0.2940 0.2500 0.1986
0.7266 0.7500 0.5877
0.7514 0.0665 0.4846
0.9195 0.7500 0.3724
0.0805 0.2500 0.6276
0.2514 0.4335 0.0154
0.2514 0.0665 0.0154
0.4383 0.5635 0.3082
0.0617 0.4365 0.8082
0.4195 0.7500 0.1276
0.2486 0.9335 0.5154
0.7514 0.4335 0.4846
0.7486 0.9335 0.9846
0.7060 0.7500 0.8014
0.5805 0.2500 0.8724
0.9383 0.5635 0.1918
0.2733 0.2500 0.4123
0.7940 0.2500 0.3014
0.0617 0.0635 0.8082
0.5617 0.4365 0.6918
0.7733 0.2500 0.0877
0.9383 0.9365 0.1918
0.5617 0.0635 0.6918
0.2060 0.7500 0.6986
0.7486 0.5665 0.9846
0.2486 0.5665 0.5154
0.2267 0.7500 0.9123
0.9589 0.9738 0.6469
0.4589 0.5262 0.8531
0.4694 0.2500 0.5621
0.5411 0.0262 0.1469
0.0306 0.7500 0.0621
0.5306 0.7500 0.4379
0.9589 0.5262 0.6469
0.4589 0.9738 0.8531
0.0411 0.0262 0.3531
0.5411 0.4738 0.1469
0.0411 0.4738 0.3531
0.9694 0.2500 0.9379
```

Final energy = -341.068 eV for the cell shown